## Nb2Pd6Rh (PBE)

Data for an optimized crystal structure of Nb2Pd6Rh.

Lattice parameters (Å, degrees): 3.891 6.318 6.346 107.64 107.85 90.00
Positions (direct):
Nb: 0.942 0.185 0.884
Nb: 0.058 0.815 0.116
Pd: 0.395 0.837 0.790
Pd: 0.605 0.163 0.210
Pd: 0.720 0.836 0.440
Pd: 0.165 0.500 0.330
Pd: 0.280 0.164 0.560
Pd: 0.835 0.500 0.670
Rh: 0.500 0.500 0.000

## Properties
Symmetry: No. 12
V, Å³ per cell: 140.8
ΔE_f, eV/atom: -0.364